First-principles (GGA-PBE) data for PmScBeAu after structural relaxation, as listed in Alexandria via LeMat-Bulk.

Cell lengths 4.931, 4.931, 4.931 Å; angles 60.00, 60.00, 60.00 degrees
Atoms (fractional coordinates):
1 Sc 0.500 0.500 0.500
2 Au 0.250 0.250 0.250
3 Be 0.750 0.750 0.750
4 Pm 0.000 0.000 0.000

Summary:
space-group type = F-43m
formation energy from the elements = -25.5 kJ/mol of atoms
mass density = 7.8 g/cm³